Entry 1:
VASP calculation (PBE-GGA) on Sm2Cd3Ga after structural relaxation.

a = 4.6374 Å, b = 4.0178 Å, c = 8.9918 Å
α = 102.91°, β = 104.94°, γ = 90.00°
Atoms (fractional coordinates):
Cd 0.5445 0.5445 0.0890
Sm 0.1133 0.1133 0.2266
Ga 0.4487 0.9487 0.8974
Cd 0.2935 0.7935 0.5871
Sm 0.8918 0.3918 0.7837
Cd 0.7081 0.7081 0.4162

Its space group is No. 44. The value obtained for the energy above the most stable polymorph in this dataset is 0.109 eV per atom. For the energy of formation, the calculation gives -1.7 eV/f.u.

=====

Entry 2:
VASP calculation (PBE-GGA) on FeReIr2 after structural relaxation.

a = 4.2962 Å, b = 2.7310 Å, c = 4.7437 Å
α = 90.01°, β = 90.00°, γ = 90.00°
Each line ends with the local moment (μB).
Atoms (fractional coordinates):
Fe 0.5000 0.6251 0.7903  2.01
Ir 0.5000 0.1248 0.2950  -0.05
Ir 0.0000 0.1252 0.9474  -0.05
Re 0.0000 0.6249 0.4674  -0.14

Its space group is No. 25. The value obtained for the energy above the most stable polymorph in this dataset is 0.003 eV per atom. For the energy of formation, the calculation gives -0.6 eV/f.u.

=====

Entry 3:
VASP calculation (PBE-GGA) on Pm8PtRh3I4 after structural relaxation.

a = 8.3673 Å, b = 9.4090 Å, c = 8.3660 Å
α = 116.41°, β = 120.01°, γ = 90.00°
Atoms (fractional coordinates):
Rh 0.5000 0.5000 0.5000
Pm 0.2310 0.6847 0.9542
Rh 0.5000 0.5000 0.0000
Pm 0.7690 0.3153 0.0458
I 0.0000 0.0000 0.5000
Pt 0.0000 0.5000 0.0000
Pm 0.2713 0.3144 0.5427
Pm 0.7233 0.6847 0.9542
I 0.5000 0.0000 0.5000
Pm 0.2309 0.6847 0.4619
I 0.0000 0.0000 0.0000
Pm 0.7287 0.6856 0.4573
Rh 0.0000 0.5000 0.5000
I 0.5000 0.0000 0.0000
Pm 0.2767 0.3153 0.0458
Pm 0.7691 0.3153 0.5381

Its space group is No. 166. The formation energy without anion corrections comes out at -0.99 eV per atom.

=====

Entry 4:
VASP calculation (PBE-GGA) on Tm3NpAs4 after structural relaxation.

a = 7.0504 Å, b = 7.0531 Å, c = 8.1475 Å
α = 90.00°, β = 90.00°, γ = 109.50°
Each line ends with the local moment (μB).
Atoms (fractional coordinates):
Tm 0.2500 0.5000 0.3765  0.00
As 0.5006 0.2501 0.8752  -0.06
Tm 0.2500 0.0000 0.6240  0.02
As 0.0007 0.7495 0.3752  -0.04
As 0.9993 0.2505 0.6248  -0.04
As 0.4993 0.2505 0.3752  -0.04
Tm 0.7500 0.5000 0.1271  0.01
As 0.4994 0.7499 0.1248  -0.06
As 0.0006 0.2501 0.1248  -0.06
Np 0.2500 0.0000 0.1257  3.66
Tm 0.7500 0.5000 0.6235  0.00
Np 0.7500 0.0000 0.8743  3.66
Tm 0.2500 0.5000 0.8729  0.01
As 0.9994 0.7499 0.8752  -0.06
As 0.5007 0.7495 0.6248  -0.04
Tm 0.7500 0.0000 0.3760  0.02

Its space group is No. 13. For the energy of formation, the calculation gives -10.3 eV/f.u.

=====

Entry 5:
VASP calculation (PBE-GGA) on Tb2BeGePt6 after structural relaxation.

a = 6.4152 Å, b = 6.4152 Å, c = 6.4152 Å
α = 60.00°, β = 60.00°, γ = 90.00°
Atoms (fractional coordinates):
Pt 0.7367 0.7367 0.5265
Tb 0.2500 0.7500 0.5000
Pt 0.7367 0.2633 0.0000
Be 0.5000 0.5000 0.0000
Ge 0.0000 0.0000 0.0000
Pt 0.2633 0.2633 0.0000
Pt 0.7367 0.7367 0.0000
Pt 0.2633 0.7367 0.0000
Pt 0.2633 0.2633 0.4735
Tb 0.7500 0.2500 0.5000

Its space group is No. 225. For the energy of formation, the calculation gives -6.4 eV/f.u.

=====

Entry 6:
VASP calculation (PBE-GGA) on NpPaIrRh after structural relaxation.

a = 4.8623 Å, b = 4.8623 Å, c = 4.8623 Å
α = 60.00°, β = 60.00°, γ = 60.00°
Each line ends with the local moment (μB).
Atoms (fractional coordinates):
Rh 0.5000 0.5000 0.5000  -0.15
Np 0.7500 0.7500 0.7500  3.76
Ir 0.0000 0.0000 0.0000  -0.16
Pa 0.2500 0.2500 0.2500  0.79

Its space group is No. 216. For the energy of formation, the calculation gives -1.7 eV/f.u.

=====

Entry 7:
VASP calculation (PBE-GGA) on RbAcAs2O6 after structural relaxation.

a = 6.0750 Å, b = 6.0750 Å, c = 7.3159 Å
α = 65.47°, β = 65.47°, γ = 60.00°
Each line ends with the local moment (μB).
Atoms (fractional coordinates):
Rb 0.0000 0.0000 0.0000  0.00
O 0.4843 0.2921 0.2753  0.16
As 0.7303 0.7303 0.8090  0.22
Ac 0.5000 0.5000 0.5000  0.06
O 0.7079 0.0517 0.7247  0.16
O 0.2921 0.9483 0.2753  0.16
As 0.2697 0.2697 0.1910  0.22
O 0.5157 0.7079 0.7247  0.16
O 0.9483 0.4843 0.2753  0.16
O 0.0517 0.5157 0.7247  0.16

Its space group is No. 148. The formation energy without anion corrections comes out at -1.79 eV per atom.

=====

Entry 8:
VASP calculation (PBE-GGA) on La4SmN5 after structural relaxation.

a = 5.4743 Å, b = 6.4046 Å, c = 6.4046 Å
α = 79.48°, β = 64.70°, γ = 64.70°
Atoms (fractional coordinates):
N 0.4604 0.0000 0.0000
La 0.4243 0.4005 0.8024
La 0.6272 0.5995 0.1976
N 0.6850 0.1972 0.3921
N 0.8822 0.3921 0.8028
Sm 0.0286 0.0000 0.0000
La 0.8248 0.8024 0.5995
N 0.0770 0.6079 0.1972
La 0.2267 0.1976 0.4005
N 0.2742 0.8028 0.6079

Its space group is No. 79. The value obtained for the energy above the most stable polymorph in this dataset is 0.000 eV per atom. The formation energy without anion corrections comes out at -1.35 eV per atom.

=====

Entry 9:
VASP calculation (PBE-GGA) on KVTeI2 after structural relaxation.

a = 6.2065 Å, b = 6.2065 Å, c = 6.2605 Å
α = 90.00°, β = 90.00°, γ = 90.00°
Each line ends with the local moment (μB).
Atoms (fractional coordinates):
V 0.5000 0.5000 0.5000  0.17
I 0.0000 0.5000 0.0000  -0.11
I 0.5000 0.0000 0.0000  -0.11
Te 0.0000 0.0000 0.5000  -0.61
K 0.0000 0.0000 0.0000  -0.02

Its space group is No. 123. The value obtained for the energy above the most stable polymorph in this dataset is 1.560 eV per atom. The formation energy without anion corrections comes out at 1.00 eV per atom.

=====

Entry 10:
VASP calculation (PBE-GGA) on CdIr2C2 after structural relaxation.

a = 6.9722 Å, b = 6.9722 Å, c = 2.7609 Å
α = 90.00°, β = 90.00°, γ = 90.00°
Atoms (fractional coordinates):
C 0.6157 0.8843 0.5000
Cd 0.0000 0.0000 0.0000
C 0.1157 0.6157 0.5000
C 0.8843 0.3843 0.5000
C 0.3843 0.1157 0.5000
Ir 0.3688 0.8688 0.0000
Ir 0.6312 0.1312 0.0000
Ir 0.1312 0.3688 0.0000
Cd 0.5000 0.5000 0.0000
Ir 0.8688 0.6312 0.0000

Its space group is No. 127. The value obtained for the energy above the most stable polymorph in this dataset is 0.747 eV per atom. For the energy of formation, the calculation gives 7.4 eV/f.u.

=====

Entry 11:
VASP calculation (PBE-GGA) on Zr9In14Co7 after structural relaxation.

a = 9.4472 Å, b = 9.4472 Å, c = 9.4472 Å
α = 60.00°, β = 60.00°, γ = 60.00°
Each line ends with the local moment (μB).
Atoms (fractional coordinates):
In 0.0000 0.3418 0.6582  0.00
Zr 0.6210 0.6210 0.6210  0.01
In 0.0000 0.3418 0.0000  0.00
In 0.2500 0.2500 0.2500  0.00
Co 0.7212 0.2788 0.2788  0.02
Zr 0.6210 0.1371 0.6210  0.01
In 0.3418 0.0000 0.0000  0.00
Co 0.7212 0.7212 0.2788  0.02
In 0.0000 0.6582 0.3418  0.00
Zr 0.6210 0.6210 0.1371  0.01
Co 0.7212 0.2788 0.7212  0.02
In 0.0000 0.0000 0.6582  0.00
In 0.6582 0.0000 0.3418  0.00
Zr 0.8629 0.3790 0.3790  0.01
Zr 0.1371 0.6210 0.6210  0.01
Co 0.2788 0.7212 0.2788  0.02
In 0.3418 0.6582 0.0000  0.00
In 0.3418 0.0000 0.6582  0.00
In 0.0000 0.0000 0.3418  0.00
Co 0.5000 0.5000 0.5000  1.46
In 0.0000 0.6582 0.0000  0.00
Zr 0.3790 0.3790 0.8629  0.01
Co 0.2788 0.2788 0.7212  0.02
In 0.6582 0.3418 0.0000  0.00
In 0.7500 0.7500 0.7500  0.00
Zr 0.3790 0.8629 0.3790  0.01
Zr 0.3790 0.3790 0.3790  0.01
Co 0.2788 0.7212 0.7212  0.02
In 0.6582 0.0000 0.0000  0.00
Zr 0.0000 0.0000 0.0000  0.00

Its space group is No. 225. For the energy of formation, the calculation gives -9.1 eV/f.u.

=====

Entry 12:
VASP calculation (PBE-GGA) on K2CdIn after structural relaxation.

a = 5.4818 Å, b = 5.2122 Å, c = 5.2122 Å
α = 90.00°, β = 90.00°, γ = 90.00°
Atoms (fractional coordinates):
Cd 0.5000 0.0000 0.0000
In 0.5000 0.5000 0.5000
K 0.0000 0.5000 0.0000
K 0.0000 0.0000 0.5000

Its space group is No. 123. For the energy of formation, the calculation gives 0.2 eV/f.u.